(1)
# CaMgCu3, optimized geometry, DFT GGA-PBE
# - Energy of formation: 0.409 eV per atom
# - Distance to the lowest polymorph of the same formula: 412 meV per atom
data_CaMgCu3
_space_group_name_H-M_alt 'P m -3 m'
_space_group_IT_number 221
_space_group_name_Hall '-P 4 2 3'
_cell_length_a 4.7175
_cell_length_b 4.7175
_cell_length_c 4.7175
_cell_angle_alpha 90.00
_cell_angle_beta 90.00
_cell_angle_gamma 90.00
loop_
_atom_site_label
_atom_site_fract_x
_atom_site_fract_y
_atom_site_fract_z
Ca1 0.0000 0.0000 0.0000
Mg1 0.5000 0.5000 0.5000
Cu1 0.0000 0.5000 0.5000


(2)
# UTl2BiS4, optimized geometry, DFT GGA-PBE
# - Uncorrected formation energy: -5.6 eV per formula unit
data_UTl2BiS4
_space_group_name_H-M_alt 'P 1 2/m 1'
_space_group_IT_number 10
_cell_length_a 7.1236
_cell_length_b 4.0854
_cell_length_c 7.9577
_cell_angle_alpha 90.00
_cell_angle_beta 106.77
_cell_angle_gamma 90.00
loop_
_space_group_symop_operation_xyz
'x,y,z'
'-x,-y,-z'
'-x,y,-z'
'x,-y,z'
loop_
_atom_site_label
_atom_site_fract_x
_atom_site_fract_y
_atom_site_fract_z
U1 0.0000 0.0000 0.0000
Tl1 0.0000 0.5000 0.5000
Tl2 0.5000 0.0000 0.5000
Bi1 0.5000 0.5000 0.0000
S1 0.2211 0.5000 0.1975
S2 0.2574 0.0000 0.7970


(3)
# NbNiAsSe2, optimized geometry, DFT GGA-PBE
# - Distance to the lowest polymorph of the same formula: 66 meV per atom
# - Uncorrected formation energy: 2.8 eV per formula unit
data_NbNiAsSe2
_space_group_name_H-M_alt 'P 4/m m m'
_space_group_IT_number 123
_space_group_name_Hall '-P 4 2'
_cell_length_a 4.9877
_cell_length_b 4.9877
_cell_length_c 5.0428
_cell_angle_alpha 90.00
_cell_angle_beta 90.00
_cell_angle_gamma 90.00
loop_
_atom_site_label
_atom_site_fract_x
_atom_site_fract_y
_atom_site_fract_z
Nb1 0.0000 0.0000 0.0000
Ni1 0.5000 0.5000 0.5000
As1 0.0000 0.0000 0.5000
Se1 0.0000 0.5000 0.0000


(4)
# Sr3Y3TmS8, optimized geometry, DFT GGA-PBE
# - Uncorrected formation energy: -31.4 eV per formula unit
data_Sr3Y3TmS8
_space_group_name_H-M_alt 'R -3 m'
_space_group_IT_number 166
_space_group_name_Hall '-R 3 2"'
_cell_length_a 7.9933
_cell_length_b 7.9933
_cell_length_c 20.5800
_cell_angle_alpha 90.00
_cell_angle_beta 90.00
_cell_angle_gamma 120.00
loop_
_atom_site_label
_atom_site_fract_x
_atom_site_fract_y
_atom_site_fract_z
Sr1 0.0000 0.5000 0.0000
Y1 0.0000 0.5000 0.5000
Tm1 0.0000 0.0000 0.5000
S1 0.0000 0.0000 0.2432
S2 0.0052 0.5026 0.2406


(5)
# AlSb2P, optimized geometry, DFT GGA-PBE
# - Distance to the lowest polymorph of the same formula: 429 meV per atom
# - Uncorrected formation energy: 1.6 eV per formula unit
data_AlSb2P
_space_group_name_H-M_alt 'F -4 3 m'
_space_group_IT_number 216
_space_group_name_Hall 'F -4 2 3'
_cell_length_a 7.0441
_cell_length_b 7.0441
_cell_length_c 7.0441
_cell_angle_alpha 90.00
_cell_angle_beta 90.00
_cell_angle_gamma 90.00
loop_
_atom_site_label
_atom_site_fract_x
_atom_site_fract_y
_atom_site_fract_z
Al1 0.0000 0.0000 0.0000
Sb1 0.0000 0.0000 0.5000
Sb2 0.2500 0.2500 0.2500
P1 0.2500 0.2500 0.7500


(6)
# TaZn2Ag, optimized geometry, DFT GGA-PBE
# - Energy of formation: 0.161 eV per atom
# - Distance to the lowest polymorph of the same formula: 175 meV per atom
data_TaZn2Ag
_space_group_name_H-M_alt 'P 4/m m m'
_space_group_IT_number 123
_space_group_name_Hall '-P 4 2'
_cell_length_a 4.4133
_cell_length_b 4.4133
_cell_length_c 3.3342
_cell_angle_alpha 90.00
_cell_angle_beta 90.00
_cell_angle_gamma 90.00
loop_
_atom_site_label
_atom_site_fract_x
_atom_site_fract_y
_atom_site_fract_z
Ta1 0.0000 0.0000 0.0000
Zn1 0.0000 0.5000 0.5000
Ag1 0.5000 0.5000 0.0000


(7)
# Hg3SeI2, optimized geometry, DFT GGA-PBE
# - Uncorrected formation energy: -0.6 eV per formula unit
data_Hg3SeI2
_space_group_name_H-M_alt 'C 1 2/c 1'
_space_group_IT_number 15
_cell_length_a 13.4995
_cell_length_b 7.9057
_cell_length_c 9.1941
_cell_angle_alpha 90.00
_cell_angle_beta 109.09
_cell_angle_gamma 90.00
loop_
_space_group_symop_operation_xyz
'x,y,z'
'-x,-y,-z'
'-x,y,-z+1/2'
'x,-y,z+1/2'
'x+1/2,y+1/2,z'
'-x+1/2,-y+1/2,-z'
'-x+1/2,y+1/2,-z+1/2'
'x+1/2,-y+1/2,z+1/2'
loop_
_atom_site_label
_atom_site_fract_x
_atom_site_fract_y
_atom_site_fract_z
Hg1 0.0000 0.1574 0.2500
Hg2 0.1470 0.4903 0.1020
Se1 0.0000 0.4857 0.2500
I1 0.1498 0.0297 0.9826


(8)
# Zn2GeC, optimized geometry, DFT GGA-PBE
# - Energy of formation: 0.847 eV per atom
# - Distance to the lowest polymorph of the same formula: 0 meV per atom
data_Zn2GeC
_space_group_name_H-M_alt 'I -4 2 d'
_space_group_IT_number 122
_space_group_name_Hall 'I -4 2bw'
_cell_length_a 5.7005
_cell_length_b 5.7005
_cell_length_c 8.5390
_cell_angle_alpha 90.00
_cell_angle_beta 90.00
_cell_angle_gamma 90.00
loop_
_atom_site_label
_atom_site_fract_x
_atom_site_fract_y
_atom_site_fract_z
Zn1 0.1399 0.2500 0.1250
Ge1 0.0000 0.0000 0.5000
C1 0.0000 0.0000 0.0000


(9)
# PdC, optimized geometry, DFT GGA-PBE
# - Energy of formation: 1.268 eV per atom
# - Distance to the lowest polymorph of the same formula: 448 meV per atom
data_PdC
_space_group_name_H-M_alt 'P m m n'
_space_group_IT_number 59
_cell_length_a 3.1199
_cell_length_b 10.1395
_cell_length_c 4.8091
_cell_angle_alpha 90.00
_cell_angle_beta 90.00
_cell_angle_gamma 90.00
loop_
_space_group_symop_operation_xyz
'x,y,z'
'-x,-y,-z'
'-x+1/2,-y+1/2,z'
'x+1/2,y+1/2,-z'
'x+1/2,-y,-z'
'-x+1/2,y,z'
'-x,y+1/2,-z'
'x,-y+1/2,z'
loop_
_atom_site_label
_atom_site_fract_x
_atom_site_fract_y
_atom_site_fract_z
Pd1 0.2500 0.0711 0.2256
Pd2 0.2500 0.7500 0.2272
C1 0.2500 0.2500 0.0469
C2 0.2500 0.5966 0.5010


(10)
# Rb2USnSe5, optimized geometry, DFT GGA-PBE
# - Uncorrected formation energy: -8.6 eV per formula unit
data_Rb2USnSe5
_space_group_name_H-M_alt 'C m c 21'
_space_group_IT_number 36
_cell_length_a 4.4058
_cell_length_b 19.9129
_cell_length_c 14.6705
_cell_angle_alpha 90.00
_cell_angle_beta 90.00
_cell_angle_gamma 90.00
loop_
_space_group_symop_operation_xyz
'x,y,z'
'-x,-y,z+1/2'
'-x,y,z'
'x,-y,z+1/2'
'x+1/2,y+1/2,z'
'-x+1/2,-y+1/2,z+1/2'
'-x+1/2,y+1/2,z'
'x+1/2,-y+1/2,z+1/2'
loop_
_atom_site_label
_atom_site_fract_x
_atom_site_fract_y
_atom_site_fract_z
Rb1 0.0000 0.1174 0.0000
Rb2 0.0000 0.1308 0.6443
U1 0.0000 0.2056 0.3499
Sn1 0.0000 0.4419 0.7519
Se1 0.0000 0.0558 0.3577
Se2 0.0000 0.2969 0.9687
Se3 0.0000 0.3094 0.7183
Se4 0.0000 0.3355 0.3257
Se5 0.0000 0.4988 0.6010


(11)
# BaPu2O4, optimized geometry, DFT GGA-PBE
# - Distance to the lowest polymorph of the same formula: 192 meV per atom
# - Uncorrected formation energy: -18.6 eV per formula unit
data_BaPu2O4
_space_group_name_H-M_alt 'I m m a'
_space_group_IT_number 74
_space_group_name_Hall '-I 2b 2'
_cell_length_a 7.1762
_cell_length_b 7.1851
_cell_length_c 10.3165
_cell_angle_alpha 90.00
_cell_angle_beta 90.00
_cell_angle_gamma 90.00
loop_
_atom_site_label
_atom_site_fract_x
_atom_site_fract_y
_atom_site_fract_z
Ba1 0.0000 0.0000 0.0000
Pu1 0.0000 0.2500 0.3840
Pu2 0.2500 0.2500 0.7500
O1 0.0000 0.0342 0.7414
O2 0.2300 0.2500 0.5234


(12)
# CuTe3, optimized geometry, DFT GGA-PBE
# - Uncorrected formation energy: 0.7 eV per formula unit
data_CuTe3
_space_group_name_H-M_alt 'C m c m'
_space_group_IT_number 63
_space_group_name_Hall '-C 2c 2'
_cell_length_a 7.7896
_cell_length_b 15.0003
_cell_length_c 3.8180
_cell_angle_alpha 90.00
_cell_angle_beta 90.00
_cell_angle_gamma 90.00
loop_
_atom_site_label
_atom_site_fract_x
_atom_site_fract_y
_atom_site_fract_z
Cu1 0.0000 0.1402 0.2500
Te1 0.0000 0.2763 0.7500
Te2 0.2365 0.1076 0.7500


(13)
# ScSb12Ru4, optimized geometry, DFT GGA-PBE
# - Uncorrected formation energy: -3.7 eV per formula unit
data_ScSb12Ru4
_space_group_name_H-M_alt 'I m -3'
_space_group_IT_number 204
_space_group_name_Hall '-I 2 2 3'
_cell_length_a 9.3679
_cell_length_b 9.3679
_cell_length_c 9.3679
_cell_angle_alpha 90.00
_cell_angle_beta 90.00
_cell_angle_gamma 90.00
loop_
_atom_site_label
_atom_site_fract_x
_atom_site_fract_y
_atom_site_fract_z
Sc1 0.0000 0.0000 0.0000
Sb1 0.0000 0.3363 0.1564
Ru1 0.2500 0.2500 0.2500


(14)
# Sr4CaAu5, optimized geometry, DFT GGA-PBE
# - Energy of formation: -0.741 eV per atom
data_Sr4CaAu5
_space_group_name_H-M_alt 'P 4/m m m'
_space_group_IT_number 123
_space_group_name_Hall '-P 4 2'
_cell_length_a 3.8221
_cell_length_b 3.8221
_cell_length_c 18.8333
_cell_angle_alpha 90.00
_cell_angle_beta 90.00
_cell_angle_gamma 90.00
loop_
_atom_site_label
_atom_site_fract_x
_atom_site_fract_y
_atom_site_fract_z
Sr1 0.0000 0.0000 0.1019
Sr2 0.0000 0.0000 0.3061
Ca1 0.0000 0.0000 0.5000
Au1 0.5000 0.5000 0.0000
Au2 0.5000 0.5000 0.2036
Au3 0.5000 0.5000 0.4129


(15)
# Li2TbNdS4, optimized geometry, DFT GGA-PBE
# - Uncorrected formation energy: -14.5 eV per formula unit
data_Li2TbNdS4
_space_group_name_H-M_alt 'P 1 2/m 1'
_space_group_IT_number 10
_cell_length_a 6.6134
_cell_length_b 3.9975
_cell_length_c 6.9268
_cell_angle_alpha 90.00
_cell_angle_beta 110.44
_cell_angle_gamma 90.00
loop_
_space_group_symop_operation_xyz
'x,y,z'
'-x,-y,-z'
'-x,y,-z'
'x,-y,z'
loop_
_atom_site_label
_atom_site_fract_x
_atom_site_fract_y
_atom_site_fract_z
Li1 0.0000 0.0000 0.0000
Li2 0.0000 0.5000 0.5000
Tb1 0.5000 0.0000 0.5000
Nd1 0.5000 0.5000 0.0000
S1 0.2445 0.0000 0.7412
S2 0.2475 0.5000 0.2557


(16)
# Nd8Sb2Te3, optimized geometry, DFT GGA-PBE
# - Uncorrected formation energy: -10.3 eV per formula unit
data_Nd8Sb2Te3
_space_group_name_H-M_alt 'C 1 2/m 1'
_space_group_IT_number 12
_cell_length_a 15.2488
_cell_length_b 8.6050
_cell_length_c 7.3717
_cell_angle_alpha 90.00
_cell_angle_beta 103.08
_cell_angle_gamma 90.00
loop_
_space_group_symop_operation_xyz
'x,y,z'
'-x,-y,-z'
'-x,y,-z'
'x,-y,z'
'x+1/2,y+1/2,z'
'-x+1/2,-y+1/2,-z'
'-x+1/2,y+1/2,-z'
'x+1/2,-y+1/2,z'
loop_
_atom_site_label
_atom_site_fract_x
_atom_site_fract_y
_atom_site_fract_z
Nd1 0.0976 0.0000 0.3703
Nd2 0.1175 0.2262 0.8954
Nd3 0.1418 0.5000 0.3959
Sb1 0.2459 0.5000 0.8366
Te1 0.0000 0.2784 0.5000
Te2 0.0000 0.5000 0.0000


(17)
# Co2GeI, optimized geometry, DFT GGA-PBE
# - Distance to the lowest polymorph of the same formula: 172 meV per atom
# - Uncorrected formation energy: 2.7 eV per formula unit
data_Co2GeI
_space_group_name_H-M_alt 'F m -3 m'
_space_group_IT_number 225
_space_group_name_Hall '-F 4 2 3'
_cell_length_a 6.3173
_cell_length_b 6.3173
_cell_length_c 6.3173
_cell_angle_alpha 90.00
_cell_angle_beta 90.00
_cell_angle_gamma 90.00
loop_
_atom_site_label
_atom_site_fract_x
_atom_site_fract_y
_atom_site_fract_z
Co1 0.2500 0.2500 0.2500
Ge1 0.0000 0.0000 0.0000
I1 0.0000 0.0000 0.5000


(18)
# Ca2MnZn3Au12, optimized geometry, DFT GGA-PBE
# - Energy of formation: -0.155 eV per atom
data_Ca2MnZn3Au12
_space_group_name_H-M_alt 'R -3 m'
_space_group_IT_number 166
_space_group_name_Hall '-R 3 2"'
_cell_length_a 6.9946
_cell_length_b 6.9946
_cell_length_c 27.5475
_cell_angle_alpha 90.00
_cell_angle_beta 90.00
_cell_angle_gamma 120.00
loop_
_atom_site_label
_atom_site_fract_x
_atom_site_fract_y
_atom_site_fract_z
Ca1 0.0000 0.0000 0.1453
Mn1 0.0000 0.0000 0.5000
Zn1 0.0000 0.5000 0.0000
Au1 0.0086 0.5043 0.1059
Au2 0.0644 0.5322 0.6204


(19)
# Na2In5Cu3, optimized geometry, DFT GGA-PBE
# - Energy of formation: -0.018 eV per atom
data_Na2In5Cu3
_space_group_name_H-M_alt 'C m c 21'
_space_group_IT_number 36
_cell_length_a 4.4972
_cell_length_b 26.3052
_cell_length_c 7.3257
_cell_angle_alpha 90.00
_cell_angle_beta 90.00
_cell_angle_gamma 90.00
loop_
_space_group_symop_operation_xyz
'x,y,z'
'-x,-y,z+1/2'
'-x,y,z'
'x,-y,z+1/2'
'x+1/2,y+1/2,z'
'-x+1/2,-y+1/2,z+1/2'
'-x+1/2,y+1/2,z'
'x+1/2,-y+1/2,z+1/2'
loop_
_atom_site_label
_atom_site_fract_x
_atom_site_fract_y
_atom_site_fract_z
Na1 0.0000 0.0225 0.0000
Na2 0.0000 0.3250 0.0671
In1 0.0000 0.0971 0.3728
In2 0.0000 0.2069 0.8663
In3 0.0000 0.2089 0.2788
In4 0.0000 0.3768 0.5216
In5 0.0000 0.4484 0.1700
Cu1 0.0000 0.1102 0.7520
Cu2 0.0000 0.2727 0.5771
Cu3 0.0000 0.4535 0.7866


(20)
# Sm5Tm2In4, optimized geometry, DFT GGA-PBE
# - Energy of formation: 0.321 eV per atom
# - Distance to the lowest polymorph of the same formula: 594 meV per atom
data_Sm5Tm2In4
_space_group_name_H-M_alt 'I m m m'
_space_group_IT_number 71
_space_group_name_Hall '-I 2 2'
_cell_length_a 3.4632
_cell_length_b 8.7309
_cell_length_c 28.7848
_cell_angle_alpha 90.00
_cell_angle_beta 90.00
_cell_angle_gamma 90.00
loop_
_atom_site_label
_atom_site_fract_x
_atom_site_fract_y
_atom_site_fract_z
Sm1 0.0000 0.0000 0.0000
Sm2 0.0000 0.3020 0.2997
Tm1 0.0000 0.5000 0.4038
In1 0.0000 0.1760 0.5000
In2 0.0000 0.5000 0.1979